No. 1
VASP calculation (PBE) on crystalline V2PCl2 at its relaxed geometry.

Calculated values
* electronic total energy: -5.35 eV per atom
* uncorrected formation energy: 0.12 eV/atom
* spin magnetization: 0.000 μB per atom

a = 6.054 Å, b = 6.054 Å, c = 6.054 Å
α = 142.22°, β = 142.22°, γ = 54.50°
Positions (direct):
V  0.099  0.099  0.000
V  0.901  0.901  0.000
P  0.500  0.500  0.000
Cl  0.250  0.750  0.500
Cl  0.750  0.250  0.500


No. 2
VASP calculation (PBE) on crystalline VPCl3 at its relaxed geometry.

Calculated values
* offset from the most stable computed form: 0 meV per atom
* electronic total energy: -4.13 eV per atom
* uncorrected formation energy: -0.11 eV/atom
* spin magnetization: 1.000 μB per atom

a = 4.861 Å, b = 4.861 Å, c = 4.861 Å
α = 90.00°, β = 90.00°, γ = 90.00°
Positions (direct):
V  0.000  0.000  0.000
P  0.500  0.500  0.500
Cl  0.000  0.000  0.500
Cl  0.000  0.500  0.000
Cl  0.500  0.000  0.000


No. 3
VASP calculation (PBE) on crystalline VPCl3 at its relaxed geometry.

Calculated values
* offset from the most stable computed form: 469 meV per atom
* electronic total energy: -3.66 eV per atom
* uncorrected formation energy: 0.36 eV/atom
* spin magnetization: 0.796 μB per atom

a = 4.886 Å, b = 4.886 Å, c = 4.886 Å
α = 90.00°, β = 90.00°, γ = 90.00°
Positions (direct):
V  0.000  0.000  0.000
P  0.500  0.500  0.500
Cl  0.000  0.500  0.500
Cl  0.500  0.000  0.500
Cl  0.500  0.500  0.000


No. 4
VASP calculation (PBE) on crystalline VP2WCl at its relaxed geometry.

Calculated values
* offset from the most stable computed form: 44 meV per atom
* electronic total energy: -5.96 eV per atom
* uncorrected formation energy: 0.98 eV/atom
* spin magnetization: 0.880 μB per atom

a = 4.675 Å, b = 4.675 Å, c = 4.368 Å
α = 90.00°, β = 90.00°, γ = 90.00°
Positions (direct):
V  0.000  0.000  0.000
P  0.000  0.500  0.000
P  0.500  0.000  0.000
W  0.500  0.500  0.500
Cl  0.000  0.000  0.500


No. 5
VASP calculation (PBE) on crystalline VPWCl2 at its relaxed geometry.

Calculated values
* offset from the most stable computed form: 114 meV per atom
* electronic total energy: -5.33 eV per atom
* uncorrected formation energy: 0.91 eV/atom
* spin magnetization: 0.102 μB per atom

a = 4.729 Å, b = 4.729 Å, c = 4.835 Å
α = 90.00°, β = 90.00°, γ = 90.00°
Positions (direct):
V  0.000  0.000  0.000
P  0.500  0.500  0.000
W  0.500  0.500  0.500
Cl  0.000  0.500  0.500
Cl  0.500  0.000  0.500


No. 6
VASP calculation (PBE) on crystalline VPWCl2 at its relaxed geometry.

Calculated values
* offset from the most stable computed form: 0 meV per atom
* electronic total energy: -5.44 eV per atom
* uncorrected formation energy: 0.79 eV/atom
* spin magnetization: 1.198 μB per atom

a = 4.480 Å, b = 4.480 Å, c = 5.231 Å
α = 90.00°, β = 90.00°, γ = 90.00°
Positions (direct):
V  0.000  0.000  0.000
P  0.000  0.000  0.500
W  0.500  0.500  0.500
Cl  0.000  0.500  0.000
Cl  0.500  0.000  0.000


No. 7
VASP calculation (PBE) on crystalline VP2WCl at its relaxed geometry.

Calculated values
* offset from the most stable computed form: 0 meV per atom
* electronic total energy: -6.01 eV per atom
* uncorrected formation energy: 0.94 eV/atom
* spin magnetization: 0.049 μB per atom

a = 4.703 Å, b = 4.703 Å, c = 4.763 Å
α = 90.00°, β = 90.00°, γ = 90.00°
Positions (direct):
V  0.000  0.000  0.000
P  0.000  0.500  0.500
P  0.500  0.000  0.500
W  0.500  0.500  0.500
Cl  0.500  0.500  0.000


No. 8
VASP calculation (PBE) on crystalline YVPCl2 at its relaxed geometry.

Calculated values
* offset from the most stable computed form: 356 meV per atom
* electronic total energy: -5.27 eV per atom
* uncorrected formation energy: -0.34 eV/atom
* spin magnetization: 0.606 μB per atom

a = 5.096 Å, b = 5.096 Å, c = 5.588 Å
α = 90.00°, β = 90.00°, γ = 90.00°
Positions (direct):
Y  0.000  0.000  0.000
V  0.500  0.500  0.500
P  0.000  0.000  0.500
Cl  0.000  0.500  0.000
Cl  0.500  0.000  0.000


No. 9
VASP calculation (PBE) on crystalline YVP2Cl at its relaxed geometry.

Calculated values
* offset from the most stable computed form: 888 meV per atom
* electronic total energy: -5.29 eV per atom
* uncorrected formation energy: 0.36 eV/atom
* spin magnetization: 0.577 μB per atom

a = 5.286 Å, b = 5.286 Å, c = 5.072 Å
α = 90.00°, β = 90.00°, γ = 90.00°
Positions (direct):
Y  0.000  0.000  0.000
V  0.500  0.500  0.500
P  0.000  0.500  0.000
P  0.500  0.000  0.000
Cl  0.000  0.000  0.500


No. 10
VASP calculation (PBE) on crystalline YVPCl2 at its relaxed geometry.

Calculated values
* offset from the most stable computed form: 0 meV per atom
* electronic total energy: -5.63 eV per atom
* uncorrected formation energy: -0.69 eV/atom
* spin magnetization: 0.577 μB per atom

a = 4.582 Å, b = 4.582 Å, c = 5.166 Å
α = 90.00°, β = 90.00°, γ = 90.00°
Positions (direct):
Y  0.000  0.000  0.000
V  0.500  0.500  0.500
P  0.500  0.500  0.000
Cl  0.000  0.500  0.500
Cl  0.500  0.000  0.500


No. 11
VASP calculation (PBE) on crystalline YVP2Cl at its relaxed geometry.

Calculated values
* offset from the most stable computed form: 0 meV per atom
* electronic total energy: -6.18 eV per atom
* uncorrected formation energy: -0.53 eV/atom
* spin magnetization: 0.227 μB per atom

a = 4.604 Å, b = 4.604 Å, c = 4.716 Å
α = 90.00°, β = 90.00°, γ = 90.00°
Positions (direct):
Y  0.000  0.000  0.000
V  0.500  0.500  0.500
P  0.000  0.500  0.500
P  0.500  0.000  0.500
Cl  0.500  0.500  0.000


No. 12
VASP calculation (PBE) on crystalline VZnPCl2 at its relaxed geometry.

Calculated values
* offset from the most stable computed form: 495 meV per atom
* electronic total energy: -3.52 eV per atom
* uncorrected formation energy: 0.38 eV/atom
* spin magnetization: 0.457 μB per atom

a = 4.638 Å, b = 4.638 Å, c = 5.102 Å
α = 90.00°, β = 90.00°, γ = 90.00°
Positions (direct):
V  0.000  0.000  0.000
Zn  0.500  0.500  0.500
P  0.500  0.500  0.000
Cl  0.000  0.500  0.500
Cl  0.500  0.000  0.500